(1)
{
  "formula": "Ta2TeP",
  "functional": "meta-GGA SCAN",
  "state": "PBEsol geometry",
  "dos_ef_per_ev_fu": 2.43,
  "e_above_lowest_polymorph_mev_per_atom": 0,
  "lattice": [[3.219, 0.000, 0.000], [0.000, 3.219, 0.000], [0.000, 0.000, 6.588]],
  "species": ["P", "Ta", "Ta", "Te"],
  "fractional_positions": [[0.500, 0.500, 0.500], [0.000, 0.000, 0.713], [0.000, 0.000, 0.287], [0.500, 0.500, 0.000]]
}

***

(2)
{
  "formula": "Ta4Te8P",
  "functional": "meta-GGA SCAN",
  "state": "PBEsol geometry",
  "dos_ef_per_ev_fu": 3.84,
  "lattice": [[3.646, 0.000, 0.000], [0.000, 11.235, 0.000], [0.000, 0.000, 17.038]],
  "species": ["P", "P", "Ta", "Ta", "Ta", "Ta", "Ta", "Ta", "Ta", "Ta", "Te", "Te", "Te", "Te", "Te", "Te", "Te", "Te", "Te", "Te", "Te", "Te", "Te", "Te", "Te", "Te"],
  "fractional_positions": [[0.000, 0.000, 0.000], [0.000, 0.500, 0.500], [0.500, 0.084, 0.926], [0.500, 0.916, 0.074], [0.500, 0.416, 0.426], [0.500, 0.584, 0.574], [0.000, 0.331, 0.581], [0.000, 0.669, 0.419], [0.000, 0.169, 0.081], [0.000, 0.831, 0.919], [0.500, 0.311, 0.997], [0.500, 0.689, 0.003], [0.500, 0.189, 0.497], [0.500, 0.811, 0.503], [0.500, 0.415, 0.692], [0.500, 0.585, 0.308], [0.500, 0.085, 0.192], [0.500, 0.915, 0.808], [0.000, 0.122, 0.675], [0.000, 0.878, 0.325], [0.000, 0.378, 0.175], [0.000, 0.622, 0.825], [0.000, 0.214, 0.829], [0.000, 0.786, 0.171], [0.000, 0.286, 0.329], [0.000, 0.714, 0.671]]
}

***

(3)
{
  "formula": "Ta2TeP",
  "functional": "meta-GGA SCAN",
  "state": "PBEsol geometry",
  "dos_ef_per_ev_fu": 3.17,
  "e_above_lowest_polymorph_mev_per_atom": 181,
  "lattice": [[-2.027, -2.217, 1.287], [1.196, -2.978, -3.247], [3.375, -1.543, 2.658]],
  "species": ["P", "Ta", "Ta", "Te"],
  "fractional_positions": [[0.500, 0.000, 0.000], [0.000, 0.000, 0.500], [0.000, 0.500, 0.000], [0.500, 0.500, 0.500]]
}

***

Number 1: E_form (uncorrected) -0.709 eV/f.u.. Number 2: E_form (uncorrected) -4.996 eV/f.u.. Number 3: E_form (uncorrected) 0.017 eV/f.u..